PrMnTeO2: relaxed, GGA+U.

Summary:
**Total energy**: -0.256 Ha/atom
**SG**: Cmcm (63)
**DOS(E_F)**: 2.22 states/eV/f.u.

Lattice parameters (Å, degrees): 5.573 5.586 7.350 112.33 90.00 90.00
Last column: magnetic moment on the atom in μB.
Fractional coordinates of all 10 atoms:
Mn1 0.750 0.047 0.094  4.42
Mn2 0.250 0.953 0.906  4.42
Te1 0.750 0.750 0.499  -0.02
Te2 0.250 0.250 0.501  -0.02
Pr1 0.250 0.593 0.187  0.03
Pr2 0.750 0.407 0.813  0.03
O1 0.000 0.244 0.000  -0.02
O2 0.000 0.756 0.000  -0.02
O3 0.500 0.756 0.000  -0.02
O4 0.500 0.244 0.000  -0.02